1.
! Nd3ErSb2 | Alexandria via LeMat-Bulk | PBE-GGA | optimized geometry; values from VASP
! volume	183.3	Å³ per cell
! E_form (uncorrected)	-0.823	eV per atom
! electronic total energy	-5.34	eV per atom
! energy relative to the lowest polymorph listed for this composition	0.000	eV per atom
&SYSTEM
  ibrav = 0, nat = 6, ntyp = 3
/
ATOMIC_SPECIES
Nd 144.24 Nd.upf
Er 167.26 Er.upf
Sb 121.76 Sb.upf
ATOMIC_POSITIONS angstrom
Nd 0.0000 0.0000 0.0000
Nd 0.0000 2.2844 5.6731
Nd 2.2844 0.0000 3.1070
Er 2.2844 2.2844 0.0000
Sb 0.0000 2.2844 2.4185
Sb 2.2844 0.0000 6.3616
CELL_PARAMETERS angstrom
4.5688 0.0000 0.0000
0.0000 4.5688 0.0000
0.0000 0.0000 8.7801

***

2.
! NdErSc2Sb4 | Alexandria via LeMat-Bulk | PBE-GGA | optimized geometry; values from VASP
! volume	225.6	Å³ per cell
! E_form (uncorrected)	-1.024	eV per atom
! electronic total energy	-5.83	eV per atom
&SYSTEM
  ibrav = 0, nat = 8, ntyp = 4
/
ATOMIC_SPECIES
Nd 144.24 Nd.upf
Er 167.26 Er.upf
Sc 44.96 Sc.upf
Sb 121.76 Sb.upf
ATOMIC_POSITIONS angstrom
Nd 0.0000 0.0000 0.0000
Er -1.2483 2.1557 3.5158
Sc 2.4729 0.0000 3.5158
Sc 3.7212 2.1557 0.0000
Sb 0.1098 0.0000 5.2749
Sb 1.3581 2.1557 1.8422
Sb 3.5876 2.1557 5.1894
Sb 4.8360 0.0000 1.7567
CELL_PARAMETERS angstrom
7.4423 0.0000 0.0000
0.0000 4.3114 0.0000
-2.4966 0.0000 7.0316

***

3.
! NdEr2ScSb4 | Alexandria via LeMat-Bulk | PBE-GGA | optimized geometry; values from VASP
! volume	468.2	Å³ per cell
! E_form (uncorrected)	-1.052	eV per atom
! electronic total energy	-5.64	eV per atom
&SYSTEM
  ibrav = 0, nat = 16, ntyp = 4
/
ATOMIC_SPECIES
Nd 144.24 Nd.upf
Er 167.26 Er.upf
Sc 44.96 Sc.upf
Sb 121.76 Sb.upf
ATOMIC_POSITIONS angstrom
Nd 0.0000 0.0000 0.0000
Nd 3.0872 3.0872 6.1406
Er 0.0000 3.0872 3.0703
Er 0.0000 3.0872 9.2109
Er 3.0872 0.0000 3.0703
Er 3.0872 0.0000 9.2109
Sc 0.0000 0.0000 6.1406
Sc 3.0872 3.0872 0.0000
Sb 0.0000 0.0000 3.1799
Sb 0.0000 0.0000 9.1013
Sb 0.0000 3.0872 0.0000
Sb 0.0000 3.0872 6.1406
Sb 3.0872 0.0000 0.0000
Sb 3.0872 0.0000 6.1406
Sb 3.0872 3.0872 2.9607
Sb 3.0872 3.0872 9.3205
CELL_PARAMETERS angstrom
6.1744 0.0000 0.0000
0.0000 6.1744 0.0000
0.0000 0.0000 12.2812

***

4.
! NdErSbSe | Alexandria via LeMat-Bulk | PBE-GGA | optimized geometry; values from VASP
! volume	113.4	Å³ per cell
! E_form (uncorrected)	-1.401	eV per atom
! electronic total energy	-5.64	eV per atom
&SYSTEM
  ibrav = 0, nat = 4, ntyp = 4
/
ATOMIC_SPECIES
Nd 144.24 Nd.upf
Er 167.26 Er.upf
Sb 121.76 Sb.upf
Se 78.96 Se.upf
ATOMIC_POSITIONS angstrom
Nd 0.0000 0.0000 0.0000
Er 2.1666 2.1666 3.0240
Sb 2.1666 2.1666 0.0050
Se 0.0000 0.0000 3.0201
CELL_PARAMETERS angstrom
4.3332 0.0000 0.0000
0.0000 4.3332 0.0000
0.0000 0.0000 6.0383

***

5.
! Nd2SmEr3Sb6 | Alexandria via LeMat-Bulk | PBE-GGA | optimized geometry; values from VASP
! volume	368.8	Å³ per cell
! E_form (uncorrected)	-1.136	eV per atom
! electronic total energy	-5.53	eV per atom
&SYSTEM
  ibrav = 0, nat = 12, ntyp = 4
/
ATOMIC_SPECIES
Nd 144.24 Nd.upf
Sm 150.36 Sm.upf
Er 167.26 Er.upf
Sb 121.76 Sb.upf
ATOMIC_POSITIONS angstrom
Nd 2.5419 0.0000 2.8708
Nd 14.7469 0.0000 5.7523
Sm 9.6484 0.0000 0.0000
Er 1.5499 0.0000 7.1874
Er 8.6444 0.0000 4.3116
Er 15.7389 0.0000 1.4357
Sb -1.4449 0.0000 6.4341
Sb 4.5474 0.0000 7.9646
Sb 5.6559 0.0000 3.5391
Sb 11.6330 0.0000 5.0840
Sb 12.7414 0.0000 0.6585
Sb 18.7337 0.0000 2.1890
CELL_PARAMETERS angstrom
9.6484 -2.2166 0.0000
9.6484 2.2166 0.0000
-2.0080 0.0000 8.6231

***

6.
! NdSmEr2Sb4 | Alexandria via LeMat-Bulk | PBE-GGA | optimized geometry; values from VASP
! volume	245.3	Å³ per cell
! E_form (uncorrected)	-1.135	eV per atom
! electronic total energy	-5.52	eV per atom
&SYSTEM
  ibrav = 0, nat = 8, ntyp = 4
/
ATOMIC_SPECIES
Nd 144.24 Nd.upf
Sm 150.36 Sm.upf
Er 167.26 Er.upf
Sb 121.76 Sb.upf
ATOMIC_POSITIONS angstrom
Nd 0.0000 0.0000 0.0000
Sm -1.2799 2.2152 3.6145
Er 2.5501 0.0000 3.6145
Er 3.8299 2.2152 0.0000
Sb 0.0602 0.0000 5.4325
Sb 1.3397 2.2152 1.8424
Sb 3.7604 2.2152 5.3865
Sb 5.0399 0.0000 1.7964
CELL_PARAMETERS angstrom
7.6599 0.0000 0.0000
0.0000 4.4304 0.0000
-2.5597 0.0000 7.2289

***

7.
! TbNdEr2Sb4 | Alexandria via LeMat-Bulk | PBE-GGA | optimized geometry; values from VASP
! volume	242.5	Å³ per cell
! E_form (uncorrected)	-1.127	eV per atom
! electronic total energy	-5.50	eV per atom
&SYSTEM
  ibrav = 0, nat = 8, ntyp = 4
/
ATOMIC_SPECIES
Tb 158.93 Tb.upf
Nd 144.24 Nd.upf
Er 167.26 Er.upf
Sb 121.76 Sb.upf
ATOMIC_POSITIONS angstrom
Tb 0.0000 0.0000 0.0000
Nd -1.2744 2.2065 3.6000
Er 2.5417 0.0000 3.6000
Er 3.8161 2.2065 0.0000
Sb 1.3209 2.2065 1.7895
Sb 0.0459 0.0000 5.4462
Sb 5.0375 0.0000 1.7538
Sb 3.7625 2.2065 5.4104
CELL_PARAMETERS angstrom
7.6323 0.0000 0.0000
0.0000 4.4130 0.0000
-2.5488 0.0000 7.2000

***

8.
! Tb2NdEr3Sb6 | Alexandria via LeMat-Bulk | PBE-GGA | optimized geometry; values from VASP
! volume	360.9	Å³ per cell
! E_form (uncorrected)	-1.125	eV per atom
! electronic total energy	-5.50	eV per atom
&SYSTEM
  ibrav = 0, nat = 12, ntyp = 4
/
ATOMIC_SPECIES
Tb 158.93 Tb.upf
Nd 144.24 Nd.upf
Er 167.26 Er.upf
Sb 121.76 Sb.upf
ATOMIC_POSITIONS angstrom
Tb 2.5375 0.0000 2.8563
Tb 14.6201 0.0000 5.7061
Nd 9.5818 0.0000 0.0000
Er 1.5066 0.0000 7.1265
Er 8.5788 0.0000 4.2812
Er 15.6510 0.0000 1.4359
Sb 18.6438 0.0000 2.2058
Sb -1.4862 0.0000 6.3565
Sb 4.4898 0.0000 7.8575
Sb 5.5719 0.0000 3.5550
Sb 11.5857 0.0000 5.0074
Sb 12.6678 0.0000 0.7049
CELL_PARAMETERS angstrom
9.5818 -2.1995 0.0000
9.5818 2.1995 0.0000
-2.0060 0.0000 8.5623

***

9.
! TbNd2ErSb4 | Alexandria via LeMat-Bulk | PBE-GGA | optimized geometry; values from VASP
! volume	249.7	Å³ per cell
! E_form (uncorrected)	-1.151	eV per atom
! electronic total energy	-5.55	eV per atom
&SYSTEM
  ibrav = 0, nat = 8, ntyp = 4
/
ATOMIC_SPECIES
Tb 158.93 Tb.upf
Nd 144.24 Nd.upf
Er 167.26 Er.upf
Sb 121.76 Sb.upf
ATOMIC_POSITIONS angstrom
Tb 0.0000 0.0000 0.0000
Nd 2.5653 0.0000 3.6355
Nd 3.8527 2.2280 0.0000
Er -1.2875 2.2280 3.6355
Sb -0.0701 0.0000 5.4179
Sb 1.2176 2.2280 1.8071
Sb 3.9129 2.2280 5.4640
Sb 5.2007 0.0000 1.8532
CELL_PARAMETERS angstrom
7.7054 0.0000 0.0000
0.0000 4.4561 0.0000
-2.5749 0.0000 7.2711

***

10.
! NdErTh2Sb5 | Alexandria via LeMat-Bulk | PBE-GGA | optimized geometry; values from VASP
! volume	318.1	Å³ per cell
! E_form (uncorrected)	-0.235	eV per atom
! electronic total energy	-5.21	eV per atom
&SYSTEM
  ibrav = 0, nat = 9, ntyp = 4
/
ATOMIC_SPECIES
Nd 144.24 Nd.upf
Er 167.26 Er.upf
Th 232.04 Th.upf
Sb 121.76 Sb.upf
ATOMIC_POSITIONS angstrom
Nd 0.0000 0.0000 0.0000
Er 0.0000 0.0000 5.8082
Th 2.6166 2.6166 3.4996
Th 2.6166 2.6166 8.1168
Sb 0.0000 0.0000 2.9264
Sb 0.0000 0.0000 8.6900
Sb 0.0000 2.6166 5.8082
Sb 2.6166 0.0000 5.8082
Sb 2.6166 2.6166 0.0000
CELL_PARAMETERS angstrom
5.2332 0.0000 0.0000
0.0000 5.2332 0.0000
0.0000 0.0000 11.6164

***

11.
! NdEr2ThSb4 | Alexandria via LeMat-Bulk | PBE-GGA | optimized geometry; values from VASP
! volume	246.5	Å³ per cell
! E_form (uncorrected)	-1.084	eV per atom
! electronic total energy	-5.81	eV per atom
&SYSTEM
  ibrav = 0, nat = 8, ntyp = 4
/
ATOMIC_SPECIES
Nd 144.24 Nd.upf
Er 167.26 Er.upf
Th 232.04 Th.upf
Sb 121.76 Sb.upf
ATOMIC_POSITIONS angstrom
Nd 0.0000 0.0000 0.0000
Er 2.5415 0.0000 3.6242
Er 3.8265 2.2222 0.0000
Th -1.2849 2.2222 3.6242
Sb 0.0614 0.0000 5.4597
Sb 1.3418 2.2222 1.8447
Sb 5.0217 0.0000 1.7887
Sb 3.7412 2.2222 5.4037
CELL_PARAMETERS angstrom
7.6530 0.0000 0.0000
0.0000 4.4443 0.0000
-2.5699 0.0000 7.2484

***

12.
! NdEr3Th2Sb6 | Alexandria via LeMat-Bulk | PBE-GGA | optimized geometry; values from VASP
! volume	369.6	Å³ per cell
! E_form (uncorrected)	-1.054	eV per atom
! electronic total energy	-5.89	eV per atom
&SYSTEM
  ibrav = 0, nat = 12, ntyp = 4
/
ATOMIC_SPECIES
Nd 144.24 Nd.upf
Er 167.26 Er.upf
Th 232.04 Th.upf
Sb 121.76 Sb.upf
ATOMIC_POSITIONS angstrom
Nd 0.0000 0.0000 0.0000
Er -0.9898 0.0000 4.3107
Er 6.1201 0.0000 1.4345
Er 11.1946 0.0000 7.1870
Th 5.1293 0.0000 5.7656
Th 12.1853 0.0000 2.8558
Sb 2.0093 0.0000 5.0804
Sb 3.1177 0.0000 0.6665
Sb 9.0930 0.0000 2.2155
Sb 8.2216 0.0000 6.4059
Sb 14.1969 0.0000 7.9549
Sb 15.3053 0.0000 3.5411
CELL_PARAMETERS angstrom
9.6472 -2.2221 0.0000
9.6472 2.2221 0.0000
-1.9797 0.0000 8.6214